(1)
## La3PmCd (PBE-GGA)

Data for a geometry-optimized La3PmCd structure.

Calculated values
Energy relative to the elements (eV per formula unit): -0.6
Electronic total energy (eV/atom): -4.2111
Offset from the most stable computed form (eV per atom): 0.000
Space group: P-1
Density (g/cm³): 6.608
V (Å³ per cell): 339

Cell: 3.8270 9.0209 10.2576 Å, 102.93 100.73 89.98°
Closest atoms and distances in Å follow each position.
Element x y z (fractional)
La1 0.4185 0.3964 0.0959  4 Cd 3.37-3.49, 1 La 3.61, 4 Pm 3.65-3.72
La2 0.6188 0.9489 0.4944  2 Cd 3.33, 4 La 3.66-3.73, 2 Pm 3.68
La3 0.2114 0.2758 0.6810  2 Cd 3.33-3.34, 4 La 3.66-3.73, 2 Pm 3.68
La4 0.6042 0.4850 0.4642  2 Cd 3.34-3.35, 5 La 3.54-3.73, 2 Pm 3.73
La5 0.2268 0.7394 0.7111  2 Cd 3.34, 5 La 3.54-3.73, 2 Pm 3.73
La6 0.4118 0.8283 0.0794  4 Cd 3.37-3.49, 1 La 3.62, 4 Pm 3.64-3.72
Cd1 0.8106 0.5388 0.8788  8 La 3.33-3.49
Cd2 0.0200 0.6859 0.2966  8 La 3.33-3.49
Pm1 0.0099 0.1480 0.2755  9 La 3.64-3.99, 3 Pm 3.69-3.83
Pm2 0.8205 0.0766 0.8998  9 La 3.65-3.99, 3 Pm 3.69-3.83

=====

(2)
## LaPm2Cd2 (PBE-GGA)

Data for a geometry-optimized LaPm2Cd2 structure.

Calculated values
Energy relative to the elements (eV per formula unit): -0.3
Electronic total energy (eV/atom): -3.3063
Offset from the most stable computed form (eV per atom): 0.202
Space group: I4/mmm
Density (g/cm³): 6.594
V (Å³ per cell): 329

Cell: 5.1047 5.1047 13.1408 Å, 101.20 101.20 90.00°
Closest atoms and distances in Å follow each position.
Element x y z (fractional)
Cd1 0.9302 0.9302 0.8605  5 Pm 2.87-3.10
Cd2 0.7500 0.2500 0.5000  4 Pm 3.06
Cd3 0.0698 0.0698 0.1395  5 Pm 2.87-3.10
Cd4 0.2500 0.7500 0.5000  4 Pm 3.06
Pm1 0.1834 0.1834 0.3667  5 Cd 2.87-3.06
Pm2 0.5000 0.0000 0.0000  4 Cd 3.10
Pm3 0.8166 0.8166 0.6333  5 Cd 2.87-3.06
Pm4 0.0000 0.5000 0.0000  4 Cd 3.10
La1 0.6296 0.6296 0.2592  8 Pm 3.86-4.15, 8 Cd 3.91-3.97
La2 0.3704 0.3704 0.7408  8 Pm 3.86-4.15, 8 Cd 3.91-3.97

=====

(3)
## LaPm14Cd (PBE-GGA)

Data for a geometry-optimized LaPm14Cd structure.

Calculated values
Energy relative to the elements (eV per formula unit): -0.2
Electronic total energy (eV/atom): -4.5338
Space group: Amm2
Density (g/cm³): 7.072
V (Å³ per cell): 536

Cell: 7.2153 7.2153 10.2897 Å, 90.00 90.00 90.02°
Closest atoms and distances in Å follow each position.
Element x y z (fractional)
Pm1 0.1226 0.8774 0.2477  10 Pm 3.57-3.66, 1 Cd 3.59, 1 La 3.62
Pm2 0.3753 0.6247 0.5000  12 Pm 3.60-3.66
Pm3 0.6276 0.3724 0.2465  10 Pm 3.57-3.66, 1 Cd 3.58, 1 La 3.62
Pm4 0.8748 0.6246 0.5000  12 Pm 3.60-3.65
Pm5 0.6276 0.8776 0.7530  10 Pm 3.57-3.66, 1 Cd 3.58, 1 La 3.62
Pm6 0.3754 0.1252 0.5000  12 Pm 3.60-3.65
Pm7 0.6276 0.3724 0.7535  10 Pm 3.57-3.66, 1 Cd 3.58, 1 La 3.62
Pm8 0.1224 0.3724 0.7530  10 Pm 3.57-3.66, 1 Cd 3.58, 1 La 3.62
Pm9 0.1226 0.8774 0.7523  10 Pm 3.57-3.66, 1 Cd 3.59, 1 La 3.62
Pm10 0.8748 0.1252 0.5000  12 Pm 3.60-3.63
Pm11 0.8753 0.6258 0.0000  8 Pm 3.60, 2 Cd 3.60-3.61, 2 La 3.60-3.61
Pm12 0.1224 0.3724 0.2470  10 Pm 3.57-3.66, 1 Cd 3.58, 1 La 3.62
Pm13 0.3742 0.1247 0.0000  8 Pm 3.60, 2 Cd 3.60-3.61, 2 La 3.60-3.61
Pm14 0.6276 0.8776 0.2470  10 Pm 3.57-3.66, 1 Cd 3.58, 1 La 3.62
La1 0.3748 0.6252 0.0000  12 Pm 3.60-3.62
Cd1 0.8749 0.1251 0.0000  12 Pm 3.58-3.61

=====

(4)
## La2PmCd8 (PBE-GGA)

Data for a geometry-optimized La2PmCd8 structure.

Calculated values
Energy relative to the elements (eV per formula unit): -3.1
Electronic total energy (eV/atom): -2.2774
Space group: C2/m
Density (g/cm³): 7.559
V (Å³ per cell): 290

Cell: 5.4097 6.6426 9.1463 Å, 111.27 107.17 90.08°
Closest atoms and distances in Å follow each position.
Element x y z (fractional)
Cd1 0.7486 0.5022 0.0000  2 Cd 2.69-2.72
Cd2 0.8787 0.6530 0.7545  5 Cd 2.98-3.33
Cd3 0.8758 0.1015 0.7545  5 Cd 2.98-3.33
Cd4 0.2514 0.4978 0.0000  2 Cd 2.69-2.72
Cd5 0.1242 0.8985 0.2455  5 Cd 2.98-3.33
Cd6 0.6987 0.1987 0.3973  1 Pm 3.21, 4 La 3.23-3.32, 6 Cd 3.31-3.42
Cd7 0.1213 0.3470 0.2455  5 Cd 2.98-3.33
Cd8 0.3013 0.8013 0.6027  1 Pm 3.21, 4 La 3.23-3.32, 6 Cd 3.31-3.42
Pm1 0.5000 0.0000 0.0000  6 Cd 3.21-3.59
La1 0.3084 0.3084 0.6167  12 Cd 3.23-3.46
La2 0.6916 0.6916 0.3833  12 Cd 3.23-3.46

=====

(5)
## La3Pm4Cd2 (PBE-GGA)

Data for a geometry-optimized La3Pm4Cd2 structure.

Calculated values
Energy relative to the elements (eV per formula unit): -0.5
Electronic total energy (eV/atom): -4.0178
Space group: C2/c
Density (g/cm³): 6.930
V (Å³ per cell): 585

Cell: 6.4454 9.7828 9.7828 Å, 72.87 84.58 84.58°
Closest atoms and distances in Å follow each position.
Element x y z (fractional)
Cd1 0.3648 0.8905 0.6116  1 Cd 3.10, 5 Pm 3.19-3.36, 1 La 3.46
Cd2 0.1352 0.3884 0.1095  1 Cd 3.10, 5 Pm 3.19-3.36, 1 La 3.46
Cd3 0.6352 0.1095 0.3884  1 Cd 3.10, 5 Pm 3.19-3.36, 1 La 3.46
Cd4 0.8648 0.6116 0.8905  1 Cd 3.10, 5 Pm 3.19-3.36, 1 La 3.46
Pm1 0.8955 0.8018 0.5579  4 Cd 3.24-3.48, 1 Pm 3.49, 3 La 3.55-3.62
Pm2 0.9834 0.6802 0.1823  2 Cd 3.19-3.29, 2 La 3.23-3.44, 2 Pm 3.49
Pm3 0.1045 0.1982 0.4421  4 Cd 3.24-3.48, 1 Pm 3.49, 3 La 3.55-3.62
Pm4 0.5166 0.8177 0.3198  2 Cd 3.19-3.29, 2 La 3.23-3.44, 2 Pm 3.49
Pm5 0.0166 0.3198 0.8177  2 Cd 3.19-3.29, 2 La 3.23-3.44, 2 Pm 3.49
Pm6 0.4834 0.1823 0.6802  2 Cd 3.19-3.29, 2 La 3.23-3.44, 2 Pm 3.49
Pm7 0.3955 0.5579 0.8018  4 Cd 3.24-3.48, 1 Pm 3.49, 3 La 3.55-3.62
Pm8 0.6045 0.4421 0.1982  4 Cd 3.24-3.48, 1 Pm 3.49, 3 La 3.55-3.62
La1 0.2500 0.5403 0.4597  6 Pm 3.23-3.62, 2 La 3.36
La2 0.5581 0.1737 0.0267  4 Pm 3.44-3.82, 2 Cd 3.46-3.48, 4 La 3.65-3.77
La3 0.0581 0.0267 0.1737  4 Pm 3.44-3.82, 2 Cd 3.46-3.48, 4 La 3.65-3.77
La4 0.7500 0.4597 0.5403  6 Pm 3.23-3.62, 2 La 3.36
La5 0.4419 0.8263 0.9733  4 Pm 3.44-3.82, 2 Cd 3.46-3.48, 4 La 3.65-3.77
La6 0.9419 0.9733 0.8263  4 Pm 3.44-3.82, 2 Cd 3.46-3.48, 4 La 3.65-3.77

=====

(6)
## La2Pm3Cd4 (PBE-GGA)

Data for a geometry-optimized La2Pm3Cd4 structure.

Calculated values
Energy relative to the elements (eV per formula unit): -1.5
Electronic total energy (eV/atom): -3.2530
Space group: Cmce
Density (g/cm³): 6.910
V (Å³ per cell): 559

Cell: 6.9733 8.4814 10.0696 Å, 90.00 110.26 90.00°
Closest atoms and distances in Å follow each position.
Element x y z (fractional)
Pm1 0.5024 0.7500 0.5048  5 Cd 3.18-3.25, 2 Pm 3.49
Pm2 0.9976 0.2500 0.4952  5 Cd 3.18-3.25, 2 Pm 3.49
Pm3 0.5000 0.5000 0.0000  6 Cd 3.07-3.09
Pm4 0.0024 0.7500 0.5048  5 Cd 3.18-3.25, 2 Pm 3.49
Pm5 0.0000 0.0000 0.0000  6 Cd 3.07-3.09
Pm6 0.4976 0.2500 0.4952  5 Cd 3.18-3.25, 2 Pm 3.49
Cd1 0.1623 0.9905 0.3246  5 Pm 3.07-3.24, 2 Cd 3.25
Cd2 0.8254 0.2500 0.1508  3 Pm 3.09-3.25, 2 Cd 3.25, 2 La 3.42
Cd3 0.8377 0.0095 0.6754  5 Pm 3.07-3.24, 2 Cd 3.25
Cd4 0.3254 0.2500 0.1508  3 Pm 3.09-3.25, 2 Cd 3.25, 2 La 3.42
Cd5 0.1746 0.7500 0.8492  3 Pm 3.09-3.25, 2 Cd 3.25, 2 La 3.42
Cd6 0.6746 0.7500 0.8492  3 Pm 3.09-3.25, 2 Cd 3.25, 2 La 3.42
Cd7 0.3377 0.4905 0.6754  5 Pm 3.07-3.24, 2 Cd 3.25
Cd8 0.6623 0.5095 0.3246  5 Pm 3.07-3.24, 2 Cd 3.25
La1 0.9080 0.4044 0.8159  5 Cd 3.42-3.80, 2 Pm 3.73
La2 0.0920 0.5956 0.1841  5 Cd 3.42-3.80, 2 Pm 3.73
La3 0.4080 0.0956 0.8159  5 Cd 3.42-3.80, 2 Pm 3.73
La4 0.5920 0.9044 0.1841  5 Cd 3.42-3.80, 2 Pm 3.73

=====

Among the records above, which one has the highest V?
La3Pm4Cd2

=====

The highest density belongs to which entry?
La2PmCd8

=====

Look up the electronic total energy of the sixth one.
-3.2530 eV/atom